# 1
A plane-wave DFT calculation with PBE-GGA was carried out for crystalline Ta2Rh at its relaxed geometry.

## Properties
The formation energy is -0.063 eV per atom. As for the crystal system: tetragonal. The value obtained for the volume is 17.35 Å³ per atom. The space group is I4_1/amd.

Unit cell a=12.8022 b=12.8022 c=12.8022 alpha=167.13 beta=167.13 gamma=18.24
Last column: nearest neighbours and their distance in Å.
Fractional coordinates of all 6 atoms:
Ta 0.3260 0.8260 0.5000  4 Rh 2.79, 6 Ta 2.86-2.87
Ta 0.1740 0.6740 0.5000  4 Rh 2.79, 6 Ta 2.86-2.87
Ta 0.5760 0.5760 0.0000  4 Rh 2.79, 6 Ta 2.86-2.87
Ta 0.4240 0.4240 0.0000  4 Rh 2.79, 6 Ta 2.86-2.87
Rh 0.0000 0.0000 0.0000  8 Ta 2.79, 4 Rh 2.87
Rh 0.7500 0.2500 0.5000  8 Ta 2.79, 4 Rh 2.87


# 2
A plane-wave DFT calculation with PBE-GGA was carried out for crystalline Li2Pd2Au at its relaxed geometry.

## Properties
The formation energy is -0.057 eV per atom. As for the crystal system: tetragonal. For the energy above the most stable polymorph in this dataset, the calculation gives 348 meV per atom. The value obtained for the volume is 15.78 Å³ per atom. The space group is I4/mmm.

Unit cell a=3.4847 b=3.4847 c=6.9490 alpha=75.48 beta=75.48 gamma=90.00
Last column: nearest neighbours and their distance in Å.
Fractional coordinates of all 5 atoms:
Au 0.0000 0.0000 0.0000  8 Pd 2.82
Pd 0.3945 0.3945 0.2109  4 Li 2.56, 1 Pd 2.74, 4 Au 2.82
Pd 0.6055 0.6055 0.7891  4 Li 2.56, 1 Pd 2.74, 4 Au 2.82
Li 0.7500 0.2500 0.5000  4 Li 2.46, 4 Pd 2.56
Li 0.2500 0.7500 0.5000  4 Li 2.46, 4 Pd 2.56


# 3
A plane-wave DFT calculation with PBE-GGA was carried out for crystalline Sm6Tl2Pt at its relaxed geometry.

## Properties
The formation energy is -0.366 eV per atom. As for the crystal system: monoclinic. For the energy above the most stable polymorph in this dataset, the calculation gives 94 meV per atom. The value obtained for the volume is 30.82 Å³ per atom. The space group is P2_1/c.

Unit cell a=6.1278 b=8.8616 c=10.2224 alpha=90.00 beta=87.89 gamma=90.00
Last column: nearest neighbours and their distance in Å.
Fractional coordinates of all 18 atoms:
Sm 0.9027 0.9716 0.2323  1 Pt 2.83
Sm 0.8950 0.6835 0.5570  1 Pt 2.93, 1 Tl 3.23
Sm 0.9006 0.6718 0.9444  1 Pt 2.93
Sm 0.5994 0.1718 0.5556  1 Pt 2.93
Sm 0.6050 0.1835 0.9430  1 Pt 2.93, 1 Tl 3.23
Sm 0.5973 0.4716 0.2677  1 Pt 2.83
Sm 0.0973 0.0284 0.7677  1 Pt 2.83
Sm 0.1050 0.3165 0.4430  1 Pt 2.93, 1 Tl 3.23
Sm 0.0994 0.3282 0.0556  1 Pt 2.93
Sm 0.4006 0.8282 0.4444  1 Pt 2.93
Sm 0.3950 0.8165 0.0570  1 Pt 2.93, 1 Tl 3.23
Sm 0.4027 0.5284 0.7323  1 Pt 2.83
Tl 0.9233 0.3763 0.7475  9 Sm 3.23-3.47
Tl 0.5767 0.8763 0.7525  9 Sm 3.23-3.47
Tl 0.4233 0.1237 0.2475  9 Sm 3.23-3.47
Tl 0.0767 0.6237 0.2525  9 Sm 3.23-3.47
Pt 0.5000 0.5000 0.0000  6 Sm 2.83-2.93
Pt 0.0000 0.0000 0.5000  6 Sm 2.83-2.93


- Look up the formation energy of the second one.
  -0.057 eV per atom


- The lowest formation energy belongs to which entry?
  Sm6Tl2Pt


- Which of these has the highest formation energy?
  Li2Pd2Au